(1)
First-principles (PBE-GGA) data for a relaxed structure of Sm2PIBr, as listed in the Open Quantum Materials Database.

Output
Volume: 31.8 Å³ per atom
Crystal system: trigonal

Unit cell a=4.150 b=4.150 c=10.665 alpha=90.00 beta=90.00 gamma=120.00
Positions (direct):
Sm (0.000, 0.000, 0.000)
Sm (0.333, 0.667, 0.708)
P (0.667, 0.333, 0.854)
I (0.333, 0.667, 0.198)
Br (0.000, 0.000, 0.536)

(2)
First-principles (PBE-GGA) data for a relaxed structure of NbGaNiPd, as listed in the Open Quantum Materials Database.

Output
Volume: 14.9 Å³ per atom
Crystal system: cubic

Unit cell a=4.383 b=4.383 c=4.383 alpha=60.00 beta=60.00 gamma=60.00
Positions (direct):
Nb (0.000, 0.000, 0.000)
Ga (0.500, 0.500, 0.500)
Ni (0.750, 0.750, 0.750)
Pd (0.250, 0.250, 0.250)

(3)
First-principles (PBE-GGA) data for a relaxed structure of ScTcNiB, as listed in the Open Quantum Materials Database.

Output
Volume: 12.6 Å³ per atom
Crystal system: cubic

Unit cell a=4.147 b=4.147 c=4.147 alpha=60.00 beta=60.00 gamma=60.00
Positions (direct):
Sc (0.000, 0.000, 0.000)
Tc (0.500, 0.500, 0.500)
Ni (0.250, 0.250, 0.250)
B (0.750, 0.750, 0.750)

Number 1: theoretical density 5.62 g/cm3, total moment 0.00 μB per formula unit, raw total energy -0.3871 Ry/atom. Number 2: theoretical density 9.14 g/cm3, total moment 0.00 μB per formula unit, raw total energy -0.4617 Ry/atom. Number 3: theoretical density 6.99 g/cm3, total moment 0.10 μB per formula unit, raw total energy -0.5292 Ry/atom.